Entry 1:
Ac2In2Rh: relaxed, GGA-PBE.

Cell: 4.0888 6.7073 11.9311 Å, 96.99 99.87 107.78°
With the nearest neighbours (Å) after each atom.
Fractional positions:
In  0.6419  0.1780  0.1052  1 Rh 2.90, 1 In 3.03
In  0.8704  0.1807  0.5597  3 Rh 2.87-3.05, 2 In 3.20-3.21
In  0.1296  0.8193  0.4403  3 Rh 2.87-3.05, 2 In 3.20-3.21
In  0.3581  0.8220  0.8948  1 Rh 2.90, 1 In 3.03
Ac  0.3361  0.3304  0.3409  2 Rh 3.04-3.05
Ac  0.9384  0.7432  0.1333  2 Rh 3.04
Ac  0.0616  0.2568  0.8667  2 Rh 3.04
Ac  0.6639  0.6696  0.6591  2 Rh 3.04-3.05
Rh  0.3618  0.0291  0.6954  4 In 2.87-3.05, 4 Ac 3.04-3.05
Rh  0.6382  0.9709  0.3046  4 In 2.87-3.05, 4 Ac 3.04-3.05

Calculated values
**Offset from the most stable computed form**: 0.000 eV per atom
**Formation energy**: -565 meV/atom
**Calculated total energy**: -4.774 eV per atom
**Total magnetization**: 0.000 μB per formula unit
**Space-group type**: No. 2

Entry 2:
ErTh2ZnC: relaxed, GGA-PBE.

Cell: 5.0442 5.0443 4.8340 Å, 90.00 90.00 90.00°
With the nearest neighbours (Å) after each atom.
Fractional positions:
Er  0.0000  0.0000  0.4999  2 C 2.42
Zn  0.5000  0.5000  0.5004  8 Th 3.49-3.50, 4 Er 3.57
C  0.0000  0.0000  0.9999  2 Er 2.42, 4 Th 2.52
Th  0.5000  0.0000  0.9999  2 C 2.52
Th  0.0000  0.5000  0.9999  2 C 2.52

Calculated values
**Formation energy**: -182 meV/atom
**Calculated total energy**: -6.162 eV per atom
**Total magnetization**: 0.000 μB per formula unit
**Space-group type**: No. 123

Entry 3:
OsSe: relaxed, GGA-PBE.

Cell: 3.9948 3.9948 5.8342 Å, 90.00 90.00 90.00°
With the nearest neighbours (Å) after each atom.
Fractional positions:
Os  0.0000  0.0000  0.5000  4 Se 2.45
Os  0.5000  0.5000  0.5000  4 Se 2.45
Se  0.0000  0.5000  0.2565  4 Os 2.45
Se  0.5000  0.0000  0.7435  4 Os 2.45

Calculated values
**Calculated total energy**: -7.122 eV per atom
**Total magnetization**: 0.000 μB per formula unit
**Raw formation energy**: 5.428 kcal/mol of atoms
**Space-group type**: No. 129

Entry 4:
GaMoRu3: relaxed, GGA-PBE.

Cell: 4.7178 4.7178 4.7178 Å, 90.00 90.00 90.00°
With the nearest neighbours (Å) after each atom.
Fractional positions:
Ru  0.5000  0.0000  0.0000  2 Mo 2.36
Ru  0.0000  0.5000  0.0000  2 Mo 2.36
Ru  0.0000  0.0000  0.5000  2 Mo 2.36
Ga  0.5000  0.5000  0.5000  12 Ru 3.34
Mo  0.0000  0.0000  0.0000  6 Ru 2.36

Calculated values
**Offset from the most stable computed form**: 0.162 eV per atom
**Formation energy**: 1520 meV/atom
**Calculated total energy**: -6.817 eV per atom
**Total magnetization**: 1.673 μB per formula unit
**Space-group type**: No. 221

calculated total energy of number 4 (GaMoRu3)?
-6.817 eV per atom

The highest calculated total energy belongs to which entry?
Ac2In2Rh

The highest total magnetization belongs to which entry?
GaMoRu3

The highest calculated total energy belongs to which entry?
Ac2In2Rh